one:
An optimized crystal structure of PmDy6Y12, computed with PBE-GGA.

Cell: 8.8399 8.8399 8.8399 Å, 99.29 99.29 99.29°
With the nearest neighbours (Å) after each atom.
Element x y z (fractional)
1 Y 0.8822 0.1178 0.5000  4 Dy 2.96-3.20, 1 Y 3.17
2 Y 0.5321 0.8180 0.5321  7 Y 3.48-3.85, 3 Dy 3.62-3.64
3 Y 0.5000 0.1178 0.8822  4 Dy 2.96-3.20, 1 Y 3.17
4 Y 0.8822 0.5000 0.1178  4 Dy 2.96-3.20, 1 Y 3.17
5 Y 0.1178 0.5000 0.8822  4 Dy 2.96-3.20, 1 Y 3.17
6 Y 0.8180 0.5321 0.5321  7 Y 3.48-3.85, 3 Dy 3.62-3.64
7 Y 0.4679 0.1820 0.4679  7 Y 3.48-3.85, 3 Dy 3.62-3.64
8 Y 0.1820 0.4679 0.4679  7 Y 3.48-3.85, 3 Dy 3.62-3.64
9 Y 0.5000 0.8822 0.1178  4 Dy 2.96-3.20, 1 Y 3.17
10 Y 0.1178 0.8822 0.5000  4 Dy 2.96-3.20, 1 Y 3.17
11 Y 0.4679 0.4679 0.1820  7 Y 3.48-3.85, 3 Dy 3.62-3.64
12 Y 0.5321 0.5321 0.8180  7 Y 3.48-3.85, 3 Dy 3.62-3.64
13 Dy 0.2065 0.2065 0.7453  4 Y 2.96-3.20
14 Dy 0.7935 0.7935 0.2547  4 Y 2.96-3.20
15 Dy 0.7453 0.2065 0.2065  4 Y 2.96-3.20
16 Dy 0.7935 0.2547 0.7935  4 Y 2.96-3.20
17 Dy 0.2547 0.7935 0.7935  4 Y 2.96-3.20
18 Dy 0.2065 0.7453 0.2065  4 Y 2.96-3.20
19 Pm 0.0000 0.0000 0.0000  6 Dy 3.65

Properties
DOS at the Fermi energy in states/eV/f.u.: 25.0
Calculated density in g/cm3: 5.5

***

two:
An optimized crystal structure of PmDy6Y12, computed with PBE-GGA.

Cell: 8.7373 9.4314 9.4314 Å, 69.09 72.01 107.99°
With the nearest neighbours (Å) after each atom.
Element x y z (fractional)
1 Dy 0.4215 0.4732 0.2103  9 Y 3.55-3.58, 3 Dy 3.56
2 Dy 0.9483 0.3165 0.4732  9 Y 3.55-3.58, 3 Dy 3.56
3 Dy 0.5785 0.5268 0.7897  9 Y 3.55-3.58, 3 Dy 3.56
4 Dy 0.0517 0.6835 0.5268  9 Y 3.55-3.58, 3 Dy 3.56
5 Dy 0.6318 0.2103 0.3165  9 Y 3.55-3.58, 3 Dy 3.56
6 Dy 0.3682 0.7897 0.6835  9 Y 3.55-3.58, 3 Dy 3.56
7 Y 0.5251 0.8421 0.2644  4 Dy 3.55-3.58, 7 Y 3.55-3.58, 1 Pm 3.58
8 Y 0.2629 0.4222 0.6306  6 Y 3.55-3.58, 5 Dy 3.56-3.57, 1 Pm 3.57
9 Y 0.1592 0.0528 0.5778  6 Y 3.55-3.58, 5 Dy 3.56-3.57, 1 Pm 3.57
10 Y 0.1064 0.3694 0.0528  6 Y 3.55-3.58, 5 Dy 3.56-3.57, 1 Pm 3.57
11 Y 0.7895 0.2644 0.8935  4 Dy 3.55-3.58, 7 Y 3.55-3.58, 1 Pm 3.58
12 Y 0.8408 0.9472 0.4222  6 Y 3.55-3.58, 5 Dy 3.56-3.57, 1 Pm 3.57
13 Y 0.6830 0.8935 0.8421  4 Dy 3.55-3.58, 7 Y 3.55-3.58, 1 Pm 3.58
14 Y 0.2105 0.7356 0.1065  4 Dy 3.55-3.58, 7 Y 3.55-3.58, 1 Pm 3.58
15 Y 0.7371 0.5778 0.3694  6 Y 3.55-3.58, 5 Dy 3.56-3.57, 1 Pm 3.57
16 Y 0.4749 0.1579 0.7356  4 Dy 3.55-3.58, 7 Y 3.55-3.58, 1 Pm 3.58
17 Y 0.8936 0.6306 0.9472  6 Y 3.55-3.58, 5 Dy 3.56-3.57, 1 Pm 3.57
18 Y 0.3170 0.1065 0.1579  4 Dy 3.55-3.58, 7 Y 3.55-3.58, 1 Pm 3.58
19 Pm 0.0000 0.0000 0.0000  12 Y 3.57-3.58

Properties
DOS at the Fermi energy in states/eV/f.u.: 27.7
Calculated density in g/cm3: 6.0

***

Tell me which of them is the most stable. Sure, it is two.

***

one:
An optimized crystal structure of Pm3DyY6, computed with PBE-GGA.

Cell: 9.9486 9.9486 6.9375 Å, 44.19 44.19 60.00°
With the nearest neighbours (Å) after each atom.
Element x y z (fractional)
1 Y 0.2712 0.9266 0.1998  2 Pm 3.26-3.50, 1 Dy 3.47
2 Y 0.9266 0.6024 0.1998  2 Pm 3.26-3.50, 1 Dy 3.47
3 Y 0.6024 0.2712 0.1998  2 Pm 3.26-3.50, 1 Dy 3.47
4 Y 0.4286 0.7727 0.7014  2 Pm 3.26-3.50, 1 Dy 3.47
5 Y 0.0972 0.4286 0.7014  2 Pm 3.26-3.50, 1 Dy 3.47
6 Y 0.7727 0.0972 0.7014  2 Pm 3.26-3.50, 1 Dy 3.47
7 Dy 0.8504 0.8504 0.4489  2 Pm 2.92
8 Pm 0.6000 0.6000 0.1999  1 Pm 2.91, 1 Dy 2.92, 3 Y 3.26
9 Pm 0.3503 0.3503 0.9491  2 Pm 2.91-2.92
10 Pm 0.1005 0.1005 0.6985  1 Pm 2.92, 1 Dy 2.92, 3 Y 3.26

Properties
DOS at the Fermi energy in states/eV/f.u.: 20.7
Calculated density in g/cm3: 5.6

***

two:
An optimized crystal structure of Pm3DyY6, computed with PBE-GGA.

Cell: 6.4187 10.9242 10.9242 Å, 119.78 90.00 90.00°
With the nearest neighbours (Å) after each atom.
Element x y z (fractional)
1 Pm 0.5686 0.6131 0.3869  7 Y 3.46-3.82, 2 Pm 3.61, 1 Dy 3.66
2 Pm 0.9593 0.0636 0.2910  1 Dy 3.22, 6 Y 3.32-3.55, 1 Pm 3.61
3 Pm 0.9593 0.7090 0.9364  1 Dy 3.22, 6 Y 3.32-3.55, 1 Pm 3.61
4 Pm 0.4593 0.9364 0.7090  1 Dy 3.22, 6 Y 3.32-3.55, 1 Pm 3.61
5 Pm 0.0686 0.3869 0.6131  7 Y 3.46-3.82, 2 Pm 3.61, 1 Dy 3.66
6 Pm 0.4593 0.2910 0.0636  1 Dy 3.22, 6 Y 3.32-3.55, 1 Pm 3.61
7 Dy 0.1371 0.1944 0.8056  2 Pm 3.22, 6 Y 3.36-3.52
8 Dy 0.6371 0.8056 0.1944  2 Pm 3.22, 6 Y 3.36-3.52
9 Y 0.0500 0.7114 0.6227  3 Pm 3.40-3.50, 4 Y 3.40-3.66
10 Y 0.3645 0.9597 0.0403  1 Dy 3.40, 4 Pm 3.53-3.55, 2 Y 3.55
11 Y 0.1569 0.7314 0.2686  4 Y 3.22-3.38, 1 Dy 3.39, 1 Pm 3.46
12 Y 0.3698 0.5291 0.9459  5 Y 3.22-3.58, 2 Pm 3.32-3.47, 2 Dy 3.36-3.52
13 Y 0.6569 0.2686 0.7314  4 Y 3.22-3.38, 1 Dy 3.39, 1 Pm 3.46
14 Y 0.5500 0.6227 0.7114  3 Pm 3.40-3.50, 4 Y 3.40-3.66
15 Y 0.8698 0.9459 0.5291  5 Y 3.22-3.58, 2 Pm 3.32-3.47, 2 Dy 3.36-3.52
16 Y 0.5500 0.2886 0.3773  3 Pm 3.40-3.50, 4 Y 3.40-3.66
17 Y 0.0500 0.3773 0.2886  3 Pm 3.40-3.50, 4 Y 3.40-3.66
18 Y 0.8645 0.0403 0.9597  1 Dy 3.40, 4 Pm 3.53-3.55, 2 Y 3.55
19 Y 0.3698 0.0541 0.4709  5 Y 3.22-3.58, 2 Pm 3.32-3.47, 2 Dy 3.36-3.52
20 Y 0.8698 0.4709 0.0541  5 Y 3.22-3.58, 2 Pm 3.32-3.47, 2 Dy 3.36-3.52

Properties
DOS at the Fermi energy in states/eV/f.u.: 14.0
Calculated density in g/cm3: 5.6

***

Tell me which of them is the most stable. Sure, it is two.

***

one:
An optimized crystal structure of Pm4Dy4Y, computed with PBE-GGA.

Cell: 5.6357 8.9481 8.9767 Å, 44.55 71.70 71.64°
With the nearest neighbours (Å) after each atom.
Element x y z (fractional)
1 Dy 0.3735 0.5756 0.6774  2 Dy 3.38, 5 Pm 3.38-3.79, 1 Y 3.63
2 Dy 0.9270 0.7678 0.3781  4 Pm 3.34-3.67, 3 Dy 3.38-3.48, 2 Y 3.68
3 Dy 0.6265 0.4244 0.3226  2 Dy 3.38, 5 Pm 3.38-3.79, 1 Y 3.63
4 Dy 0.0730 0.2322 0.6219  4 Pm 3.34-3.67, 3 Dy 3.38-3.48, 2 Y 3.68
5 Pm 0.7192 0.8468 0.7148  2 Dy 3.36-3.59, 1 Y 3.45, 3 Pm 3.51-3.52
6 Pm 0.1331 0.6930 0.0407  5 Dy 3.34-3.67, 3 Pm 3.51-3.52, 2 Y 3.69
7 Pm 0.2808 0.1532 0.2852  2 Dy 3.36-3.59, 1 Y 3.45, 3 Pm 3.51-3.52
8 Pm 0.8669 0.3070 0.9593  5 Dy 3.34-3.67, 3 Pm 3.51-3.52, 2 Y 3.69
9 Y 0.5000 0.0000 0.0000  6 Pm 3.45-3.69, 6 Dy 3.63-3.68

Properties
DOS at the Fermi energy in states/eV/f.u.: 15.3
Calculated density in g/cm3: 7.3

***

two:
An optimized crystal structure of Pm4Dy4Y, computed with PBE-GGA.

Cell: 5.0785 8.0442 8.0442 Å, 84.28 71.60 71.60°
With the nearest neighbours (Å) after each atom.
Element x y z (fractional)
1 Y 0.0000 0.0000 0.0000  4 Pm 3.58, 8 Dy 3.59
2 Dy 0.6665 0.9999 0.6670  6 Pm 3.59-3.60, 2 Y 3.59, 4 Dy 3.59-3.60
3 Dy 0.6665 0.6670 0.0001  6 Pm 3.59-3.60, 2 Y 3.59, 4 Dy 3.59-3.60
4 Dy 0.3335 0.0001 0.3330  6 Pm 3.59-3.60, 2 Y 3.59, 4 Dy 3.59-3.60
5 Dy 0.3335 0.3330 0.9999  6 Pm 3.59-3.60, 2 Y 3.59, 4 Dy 3.59-3.60
6 Pm 0.0001 0.6681 0.3317  1 Y 3.58, 6 Dy 3.59-3.60, 5 Pm 3.61-3.63
7 Pm 0.6682 0.3317 0.3319  1 Y 3.58, 6 Dy 3.59-3.60, 5 Pm 3.61-3.63
8 Pm 0.3318 0.6683 0.6681  1 Y 3.58, 6 Dy 3.59-3.60, 5 Pm 3.61-3.63
9 Pm 0.9999 0.3319 0.6683  1 Y 3.58, 6 Dy 3.59-3.60, 5 Pm 3.61-3.63

Properties
DOS at the Fermi energy in states/eV/f.u.: 13.6
Calculated density in g/cm3: 7.4

***

Tell me which of them is the most stable. Sure, it is two.

***

one:
An optimized crystal structure of PmDy5Y3, computed with PBE-GGA.

Cell: 9.2968 9.2968 12.8145 Å, 51.77 51.77 50.89°
With the nearest neighbours (Å) after each atom.
Element x y z (fractional)
1 Dy 0.9208 0.5100 0.2202  5 Dy 3.28-3.64, 1 Y 3.43, 2 Pm 3.62-3.63
2 Dy 0.5577 0.5577 0.5657  4 Dy 3.33-3.64, 2 Y 3.41-3.54
3 Dy 0.3200 0.6800 0.0000  1 Y 2.56
4 Dy 0.4900 0.0792 0.7798  5 Dy 3.28-3.64, 1 Y 3.43, 2 Pm 3.62-3.63
5 Dy 0.6288 0.6288 0.0715  5 Dy 3.21-3.50, 1 Pm 3.24
6 Dy 0.6800 0.3200 0.0000  1 Y 2.56
7 Dy 0.0792 0.4900 0.7798  5 Dy 3.28-3.64, 1 Y 3.43, 2 Pm 3.62-3.63
8 Dy 0.5100 0.9208 0.2202  5 Dy 3.28-3.64, 1 Y 3.43, 2 Pm 3.62-3.63
9 Dy 0.3712 0.3712 0.9285  5 Dy 3.21-3.50, 1 Pm 3.24
10 Dy 0.4423 0.4423 0.4343  4 Dy 3.33-3.64, 2 Y 3.41-3.54
11 Y 0.1648 0.1648 0.6576  2 Y 3.20-3.28, 1 Pm 3.37, 1 Dy 3.41
12 Y 0.0000 0.0000 0.0000  2 Dy 2.56
13 Y 0.3064 0.3064 0.3127  1 Y 3.28, 5 Dy 3.29-3.54
14 Y 0.6936 0.6936 0.6873  1 Y 3.28, 5 Dy 3.29-3.54
15 Y 0.8352 0.8352 0.3424  2 Y 3.20-3.28, 1 Pm 3.37, 1 Dy 3.41
16 Y 0.0000 0.0000 0.5000  4 Dy 3.70, 2 Pm 3.77, 2 Y 3.91
17 Pm 0.8907 0.8907 0.8736  2 Y 3.17-3.37, 1 Dy 3.24
18 Pm 0.1093 0.1093 0.1264  2 Y 3.17-3.37, 1 Dy 3.24

Properties
DOS at the Fermi energy in states/eV/f.u.: 13.7
Calculated density in g/cm3: 6.5

***

two:
An optimized crystal structure of PmDy5Y3, computed with PBE-GGA.

Cell: 6.3263 12.0328 11.3410 Å, 131.22 90.00 105.24°
With the nearest neighbours (Å) after each atom.
Element x y z (fractional)
1 Dy 0.3972 0.0000 0.7500  1 Pm 2.98, 2 Dy 3.20
2 Dy 0.3502 0.3400 0.9679  4 Dy 3.20-3.47, 1 Pm 3.50, 1 Y 3.52
3 Dy 0.0102 0.6600 0.5321  4 Dy 3.20-3.47, 1 Pm 3.50, 1 Y 3.52
4 Dy 0.6028 0.0000 0.2500  1 Pm 2.98, 2 Dy 3.20
5 Dy 0.4566 0.3401 0.6291  4 Y 3.35-3.62, 2 Dy 3.40-3.47, 1 Pm 3.44
6 Dy 0.5434 0.6599 0.3709  4 Y 3.35-3.62, 2 Dy 3.40-3.47, 1 Pm 3.44
7 Dy 0.9898 0.3400 0.4679  4 Dy 3.20-3.47, 1 Pm 3.50, 1 Y 3.52
8 Dy 0.8834 0.3401 0.1291  4 Y 3.35-3.62, 2 Dy 3.40-3.47, 1 Pm 3.44
9 Dy 0.6498 0.6600 0.0321  4 Dy 3.20-3.47, 1 Pm 3.50, 1 Y 3.52
10 Dy 0.1166 0.6599 0.8709  4 Y 3.35-3.62, 2 Dy 3.40-3.47, 1 Pm 3.44
11 Pm 0.1311 0.0000 0.2500  2 Y 2.95, 1 Dy 2.98
12 Pm 0.8689 0.0000 0.7500  2 Y 2.95, 1 Dy 2.98
13 Y 0.1485 0.6791 0.1936  6 Dy 3.35-3.72, 2 Y 3.48-3.49, 1 Pm 3.51
14 Y 0.0000 0.0000 0.5000  2 Pm 2.95
15 Y 0.5306 0.6791 0.6936  6 Dy 3.35-3.72, 2 Y 3.48-3.49, 1 Pm 3.51
16 Y 0.4694 0.3209 0.3064  6 Dy 3.35-3.72, 2 Y 3.48-3.49, 1 Pm 3.51
17 Y 0.0000 0.0000 0.0000  2 Pm 2.95
18 Y 0.8515 0.3209 0.8064  6 Dy 3.35-3.72, 2 Y 3.48-3.49, 1 Pm 3.51

Properties
DOS at the Fermi energy in states/eV/f.u.: 12.5
Calculated density in g/cm3: 6.7

***

Tell me which of them is the most stable. Sure, it is two.